#P
A plane-wave DFT calculation with PBE was carried out for a relaxed structure of SrCd3Sn.

Values from the calculation:
Space-group type: No. 221
DOS(E_F) (states/eV/f.u.): 3.78
Spin magnetization (μB per cell): 0.000

Cell lengths 5.6423, 5.6423, 5.6423 Å; angles 90.00, 90.00, 90.00 degrees
With the nearest neighbours (Å) after each atom.
Element x y z (fractional)
Cd1 0.5000 0.0000 0.0000  2 Sn 2.82
Sn1 0.0000 0.0000 0.0000  6 Cd 2.82
Cd2 0.0000 0.5000 0.0000  2 Sn 2.82
Sr1 0.5000 0.5000 0.5000  12 Cd 3.99
Cd3 0.0000 0.0000 0.5000  2 Sn 2.82

=====

#Q
A plane-wave DFT calculation with PBE was carried out for a relaxed structure of SrCd3Sn.

Values from the calculation:
Space-group type: No. 221
DOS(E_F) (states/eV/f.u.): 7.63
Spin magnetization (μB per cell): 0.000

Cell lengths 6.0277, 6.0277, 6.0277 Å; angles 90.00, 90.00, 90.00 degrees
With the nearest neighbours (Å) after each atom.
Element x y z (fractional)
Cd1 0.0000 0.5000 0.0000  2 Sr 3.01
Cd2 0.5000 0.0000 0.0000  2 Sr 3.01
Cd3 0.0000 0.0000 0.5000  2 Sr 3.01
Sr1 0.0000 0.0000 0.0000  6 Cd 3.01
Sn1 0.5000 0.5000 0.5000  12 Cd 4.26

=====

#R
A plane-wave DFT calculation with PBE was carried out for a relaxed structure of SrCd3Sn.

Values from the calculation:
Space-group type: No. 14
DOS(E_F) (states/eV/f.u.): 1.50
Spin magnetization (μB per cell): 0.000

Cell lengths 6.4098, 9.2084, 10.2088 Å; angles 113.90, 90.00, 90.00 degrees
With the nearest neighbours (Å) after each atom.
Element x y z (fractional)
Cd1 0.5631 0.2554 0.5905  1 Sn 2.93, 4 Cd 2.95-3.21
Sr1 0.3699 0.0016 0.2441  9 Cd 3.45-3.64, 3 Sn 3.45-3.53
Cd2 0.9369 0.7554 0.0905  1 Sn 2.93, 4 Cd 2.95-3.21
Cd3 0.6600 0.5862 0.6014  3 Cd 2.89-3.21, 2 Sn 2.99-3.13
Cd4 0.3250 0.5901 0.1029  3 Cd 2.95-3.06, 2 Sn 3.00-3.15
Sn1 0.0673 0.7655 0.5853  5 Cd 2.93-3.15
Sr2 0.8699 0.4984 0.2559  9 Cd 3.45-3.64, 3 Sn 3.45-3.53
Cd5 0.4369 0.7446 0.4095  1 Sn 2.93, 4 Cd 2.95-3.21
Cd6 0.1750 0.0901 0.6029  3 Cd 2.95-3.06, 2 Sn 3.00-3.15
Sn2 0.9327 0.2345 0.4147  5 Cd 2.93-3.15
Cd7 0.0631 0.2446 0.9095  1 Sn 2.93, 4 Cd 2.95-3.21
Cd8 0.6750 0.4099 0.8971  3 Cd 2.95-3.06, 2 Sn 3.00-3.15
Sr3 0.6301 0.9984 0.7559  9 Cd 3.45-3.64, 3 Sn 3.45-3.53
Cd9 0.8250 0.9099 0.3971  3 Cd 2.95-3.06, 2 Sn 3.00-3.15
Sr4 0.1301 0.5016 0.7441  9 Cd 3.45-3.64, 3 Sn 3.45-3.53
Cd10 0.8400 0.0862 0.1014  3 Cd 2.89-3.21, 2 Sn 2.99-3.13
Sn3 0.5673 0.7345 0.9147  5 Cd 2.93-3.15
Cd11 0.3400 0.4138 0.3986  3 Cd 2.89-3.21, 2 Sn 2.99-3.13
Sn4 0.4327 0.2655 0.0853  5 Cd 2.93-3.15
Cd12 0.1600 0.9138 0.8986  3 Cd 2.89-3.21, 2 Sn 2.99-3.13

=====

Relative to the most stable structure, the computed energies are #P 0.352; #Q 1.001; #R 0.000, all in eV/atom.